(1)
Below is a geometry-optimized Ir2OsSe8 structure, with properties calculated at the PBE level.

CIF file:
```
data_Ir2OsSe8
_cell_length_a 5.2892
_cell_length_b 7.0549
_cell_length_c 7.1865
_cell_angle_alpha 119.37
_cell_angle_beta 90.45
_cell_angle_gamma 90.02
_symmetry_space_group_name_H-M 'P -1'
_symmetry_Int_Tables_number 2
loop_
_symmetry_equiv_pos_as_xyz
'x,y,z'
'-x,-y,-z'
loop_
_atom_site_label
_atom_site_fract_x
_atom_site_fract_y
_atom_site_fract_z
_atom_site_occupancy
Ir1 0.2328 0.1741 0.3435 1
Os1 0.0000 0.5000 0.0000 1
Se1 0.2286 0.8305 0.6821 1
Se2 0.2784 0.4555 0.7074 1
Se3 0.2801 0.8010 0.2411 1
Se4 0.2827 0.2520 0.0527 1
```

Results
Formation energy from raw total energies (eV/atom): 0.085
Total DFT energy (no corrections) (eV/cell): -55.90

---

(2)
Below is a geometry-optimized Dy3CuTe structure, with properties calculated at the PBE level.

CIF file:
```
data_Dy3CuTe
_cell_length_a 21.9108
_cell_length_b 3.9497
_cell_length_c 6.2114
_cell_angle_alpha 90.00
_cell_angle_beta 98.97
_cell_angle_gamma 90.00
_symmetry_space_group_name_H-M 'C 1 2/m 1'
_symmetry_Int_Tables_number 12
loop_
_symmetry_equiv_pos_as_xyz
'x,y,z'
'-x,-y,-z'
'-x,y,-z'
'x,-y,z'
'x+1/2,y+1/2,z'
'-x+1/2,-y+1/2,-z'
'-x+1/2,y+1/2,-z'
'x+1/2,-y+1/2,z'
loop_
_atom_site_label
_atom_site_fract_x
_atom_site_fract_y
_atom_site_fract_z
_atom_site_occupancy
Dy1 0.0027 0.0000 0.2562 1
Dy2 0.1335 0.5000 0.5746 1
Dy3 0.1997 0.0000 0.1283 1
Cu1 0.2322 0.0000 0.6096 1
Te1 0.0883 0.5000 0.0403 1
```

Results
Formation energy from raw total energies (eV/atom): -0.573
Total DFT energy (no corrections) (eV/cell): -95.64

---

(3)
Below is a geometry-optimized BeOsF2 structure, with properties calculated at the PBE level.

CIF file:
```
data_BeOsF2
_cell_length_a 2.6832
_cell_length_b 2.6832
_cell_length_c 31.1325
_cell_angle_alpha 90.00
_cell_angle_beta 90.00
_cell_angle_gamma 120.00
_symmetry_space_group_name_H-M 'R -3 m'
_symmetry_Int_Tables_number 166
_symmetry_space_group_name_Hall '-R 3 2"'
loop_
_atom_site_label
_atom_site_fract_x
_atom_site_fract_y
_atom_site_fract_z
_atom_site_occupancy
Be1 0.0000 0.0000 0.0000 1
Os1 0.0000 0.0000 0.5000 1
F1 0.0000 0.0000 0.0439 1
```

Results
Formation energy from raw total energies (eV/atom): -0.965
Distance to the lowest polymorph of the same formula (meV per atom): 615
Total DFT energy (no corrections) (eV/cell): -67.67

---

(4)
Below is a geometry-optimized Li2CaMg2 structure, with properties calculated at the PBE level.

CIF file:
```
data_Li2CaMg2
_cell_length_a 4.2688
_cell_length_b 4.2688
_cell_length_c 14.6050
_cell_angle_alpha 90.00
_cell_angle_beta 90.00
_cell_angle_gamma 90.00
_symmetry_space_group_name_H-M 'I 4/m m m'
_symmetry_Int_Tables_number 139
_symmetry_space_group_name_Hall '-I 4 2'
loop_
_atom_site_label
_atom_site_fract_x
_atom_site_fract_y
_atom_site_fract_z
_atom_site_occupancy
Li1 0.0000 0.5000 0.2500 1
Ca1 0.0000 0.0000 0.0000 1
Mg1 0.0000 0.0000 0.3941 1
```

Results
Distance to the lowest polymorph of the same formula (meV per atom): 86
Total DFT energy (no corrections) (eV/cell): -17.57
ΔH_f (0 K) (eV/atom): 0.0471

---

(5)
Below is a geometry-optimized TiCd2Co2 structure, with properties calculated at the PBE level.

CIF file:
```
data_TiCd2Co2
_cell_length_a 6.1162
_cell_length_b 6.1162
_cell_length_c 4.2512
_cell_angle_alpha 90.00
_cell_angle_beta 90.00
_cell_angle_gamma 90.00
_symmetry_space_group_name_H-M 'P 4/m b m'
_symmetry_Int_Tables_number 127
_symmetry_space_group_name_Hall '-P 4 2ab'
loop_
_atom_site_label
_atom_site_fract_x
_atom_site_fract_y
_atom_site_fract_z
_atom_site_occupancy
Ti1 0.0000 0.0000 0.0000 1
Cd1 0.1745 0.3255 0.5000 1
Co1 0.1300 0.6300 0.0000 1
```

Results
Total DFT energy (no corrections) (eV/cell): -46.90
ΔH_f (0 K) (eV/atom): 0.0975

---

(6)
Below is a geometry-optimized YVPdCl2 structure, with properties calculated at the PBE level.

CIF file:
```
data_YVPdCl2
_cell_length_a 5.0840
_cell_length_b 5.0840
_cell_length_c 5.5470
_cell_angle_alpha 90.00
_cell_angle_beta 90.00
_cell_angle_gamma 90.00
_symmetry_space_group_name_H-M 'P 4/m m m'
_symmetry_Int_Tables_number 123
_symmetry_space_group_name_Hall '-P 4 2'
loop_
_atom_site_label
_atom_site_fract_x
_atom_site_fract_y
_atom_site_fract_z
_atom_site_occupancy
Y1 0.0000 0.0000 0.0000 1
V1 0.5000 0.5000 0.5000 1
Pd1 0.0000 0.0000 0.5000 1
Cl1 0.0000 0.5000 0.0000 1
```

Results
Formation energy from raw total energies (eV/atom): 0.099
Total DFT energy (no corrections) (eV/cell): -23.97